1.
VASP calculation (SCAN) on a PBEsol-optimized structure of TlReMo2.

Unit cell a=5.297 b=5.297 c=5.297 alpha=144.18 beta=130.44 gamma=62.64
Sites, in units of the cell vectors:
Tl 0.000 0.000 0.000
Re 0.500 0.500 0.000
Mo 0.262 0.762 0.500
Mo 0.738 0.238 0.500

Computed properties:
Its energy above the most stable polymorph in this dataset is 65.1 kJ/mol of formula units. The value obtained for the magnetic moment is 0.00 μB per formula unit. The calculation puts the formation energy at 0.63 eV/atom. As for the density: 14.78 Mg/m³.

=====

2.
VASP calculation (SCAN) on a PBEsol-optimized structure of CdP2Pb.

Unit cell a=3.697 b=3.697 c=6.190 alpha=90.00 beta=90.00 gamma=90.00
Sites, in units of the cell vectors:
Cd 0.000 0.000 0.000
P 0.500 0.500 0.182
P 0.500 0.500 0.818
Pb 0.000 0.000 0.500

Computed properties:
The value obtained for the magnetic moment is 0.00 μB per formula unit. The calculation puts the formation energy at 0.33 eV/atom. As for the density: 7.49 Mg/m³.

=====

3.
VASP calculation (SCAN) on a PBEsol-optimized structure of Be2ReMo.

Unit cell a=4.539 b=4.539 c=4.539 alpha=139.60 beta=128.21 gamma=67.66
Sites, in units of the cell vectors:
Be 0.000 0.000 0.000
Be 0.796 0.296 0.500
Re 0.531 0.531 0.000
Mo 0.263 0.763 0.500

Computed properties:
Its energy above the most stable polymorph in this dataset is 66.3 kJ/mol of formula units. The value obtained for the magnetic moment is 0.00 μB per formula unit. The calculation puts the formation energy at -0.09 eV/atom. As for the density: 10.63 Mg/m³.

=====

4.
VASP calculation (SCAN) on a PBEsol-optimized structure of Ti2Si2Hg.

Unit cell a=7.531 b=7.531 c=7.531 alpha=153.77 beta=153.77 gamma=37.44
Sites, in units of the cell vectors:
Ti 0.111 0.111 0.000
Ti 0.889 0.889 0.000
Si 0.250 0.750 0.500
Si 0.750 0.250 0.500
Hg 0.500 0.500 0.000

Computed properties:
The uncorrected formation energy comes out at -241 meV/atom. The value obtained for the magnetic moment is 0.00 μB per formula unit. As for the density: 7.02 Mg/m³.

=====

5.
VASP calculation (SCAN) on a PBEsol-optimized structure of HfGaS2.

Unit cell a=8.711 b=8.711 c=8.711 alpha=22.96 beta=22.96 gamma=22.96
Sites, in units of the cell vectors:
Hf 0.000 0.000 0.000
Ga 0.500 0.500 0.500
S 0.393 0.393 0.393
S 0.607 0.607 0.607

Computed properties:
The uncorrected formation energy comes out at -1118 meV/atom. The value obtained for the magnetic moment is 0.00 μB per formula unit. As for the density: 5.87 Mg/m³.

=====

6.
VASP calculation (SCAN) on a PBEsol-optimized structure of Sr2Au.

Unit cell a=8.456 b=8.456 c=4.809 alpha=90.00 beta=90.00 gamma=120.00
Sites, in units of the cell vectors:
Sr 0.000 0.408 0.000
Sr 0.000 0.742 0.500
Sr 0.258 0.258 0.500
Sr 0.408 0.000 0.000
Sr 0.592 0.592 0.000
Sr 0.742 0.000 0.500
Au 0.000 0.000 0.000
Au 0.333 0.667 0.500
Au 0.667 0.333 0.500

Computed properties:
The value obtained for the magnetic moment is 0.00 μB per formula unit. The calculation puts the formation energy at -0.64 eV/atom. As for the density: 6.23 Mg/m³.

=====

7.
VASP calculation (SCAN) on a PBEsol-optimized structure of LaY2TlW.

Unit cell a=5.439 b=5.439 c=4.815 alpha=90.00 beta=90.00 gamma=90.00
Sites, in units of the cell vectors:
La 0.000 0.000 0.000
Y 0.000 0.500 0.000
Y 0.500 0.000 0.000
Tl 0.500 0.500 0.500
W 0.000 0.000 0.500

Computed properties:
The value obtained for the magnetic moment is 0.00 μB per formula unit. The calculation puts the formation energy at 1.29 eV/atom. As for the density: 8.22 Mg/m³.

=====

8.
VASP calculation (SCAN) on a PBEsol-optimized structure of CrHg2Ir.

Unit cell a=4.893 b=4.893 c=4.911 alpha=101.34 beta=101.34 gamma=36.01
Sites, in units of the cell vectors:
Cr 0.000 0.000 0.000
Hg 0.251 0.251 0.750
Hg 0.749 0.749 0.250
Ir 0.500 0.500 0.500

Computed properties:
Its energy above the most stable polymorph in this dataset is 0.0 kJ/mol of formula units. The value obtained for the magnetic moment is 3.65 μB per formula unit. The calculation puts the formation energy at 0.33 eV/atom. As for the density: 15.85 Mg/m³.